# 1
DFT (meta-GGA SCAN) results for CaAlP2 at its PBEsol-relaxed geometry.

The space group is P4/mmm (No. 123) and the conventional cell measures 4.3757, 4.3757 and 3.6535 Å, with angles of 90.00, 90.00 and 90.00 degrees. The distinct sites, in fractional coordinates, are Ca at (0.0000, 0.0000, 0.0000), Al at (0.5000, 0.5000, 0.0000) and P at (0.0000, 0.5000, 0.5000).

The calculation puts the total energy at -39.48 eV per formula unit. The value obtained for the formation energy is -0.32 eV/atom.

# 2
DFT (meta-GGA SCAN) results for Ca2AlP at its PBEsol-relaxed geometry.

The space group is C2/m (No. 12) and the conventional cell measures 7.1956, 4.0719 and 7.9787 Å, with angles of 90.00, 106.23 and 90.00 degrees. The distinct sites, in fractional coordinates, are Ca at (0.2281, 0.0000, 0.1895), Al at (0.0000, 0.0000, 0.5000) and P at (0.0000, 0.5000, 0.0000).

The calculation puts the total energy at -39.41 eV per formula unit. The value obtained for the formation energy is -0.48 eV/atom. The distance to the lowest polymorph of the same formula is 6.33 kcal/mol of atoms.

# 3
DFT (meta-GGA SCAN) results for Ca2AlP at its PBEsol-relaxed geometry.

The space group is Amm2 (No. 38) and the conventional cell measures 3.8835, 4.4564 and 10.8577 Å, with angles of 90.00, 90.00 and 90.00 degrees. The distinct sites, in fractional coordinates, are Ca at (0.0000, 0.0000, 0.0000), Ca at (0.5000, 0.0000, 0.2862), Al at (0.5000, 0.0000, 0.5780) and P at (0.0000, 0.0000, 0.7203).

The calculation puts the total energy at -40.51 eV per formula unit. The value obtained for the formation energy is -0.76 eV/atom. The distance to the lowest polymorph of the same formula is 0.00 kcal/mol of atoms.

# 4
DFT (meta-GGA SCAN) results for CaAlP2 at its PBEsol-relaxed geometry.

The space group is F-43m (No. 216) and the conventional cell measures 6.6638, 6.6638 and 6.6638 Å, with angles of 90.00, 90.00 and 90.00 degrees. The distinct sites, in fractional coordinates, are Ca at (0.0000, 0.0000, 0.0000), Al at (0.2500, 0.2500, 0.7500), P at (0.0000, 0.0000, 0.5000) and P at (0.2500, 0.2500, 0.2500).

The calculation puts the total energy at -37.44 eV per formula unit. The value obtained for the formation energy is 0.19 eV/atom.

# 5
DFT (meta-GGA SCAN) results for Ca2AlP at its PBEsol-relaxed geometry.

The space group is R3m (No. 160, hexagonal axes) and the conventional cell measures 3.8224, 3.8224 and 25.6988 Å, with angles of 90.00, 90.00 and 120.00 degrees. The distinct sites, in fractional coordinates, are Ca at (0.0000, 0.0000, 0.0000), Ca at (0.0000, 0.0000, 0.2057), Al at (0.0000, 0.0000, 0.7601) and P at (0.0000, 0.0000, 0.4676).

The calculation puts the total energy at -39.64 eV per formula unit. The value obtained for the formation energy is -0.54 eV/atom. The distance to the lowest polymorph of the same formula is 5.01 kcal/mol of atoms.

# 6
DFT (meta-GGA SCAN) results for Ca5Al2P6 at its PBEsol-relaxed geometry.

The space group is Pbam (No. 55) and the conventional cell measures 10.9935, 12.6417 and 3.9977 Å, with angles of 90.00, 90.00 and 90.00 degrees. The distinct sites, in fractional coordinates, are Ca at (0.0000, 0.0000, 0.0000), Ca at (0.0888, 0.2538, 0.0000), Ca at (0.1774, 0.5120, 0.0000), Al at (0.1703, 0.7130, 0.5000), P at (0.0150, 0.4116, 0.5000), P at (0.1581, 0.1004, 0.5000) and P at (0.1598, 0.8162, 0.0000).

The calculation puts the total energy at -141.59 eV per formula unit. The value obtained for the formation energy is -1.18 eV/atom.

# 7
DFT (meta-GGA SCAN) results for CaAlPPt2 at its PBEsol-relaxed geometry.

The space group is P4/mmm (No. 123) and the conventional cell measures 4.5984, 4.5984 and 4.6225 Å, with angles of 90.00, 90.00 and 90.00 degrees. The distinct sites, in fractional coordinates, are Ca at (0.0000, 0.0000, 0.0000), Al at (0.5000, 0.5000, 0.0000), P at (0.5000, 0.5000, 0.5000) and Pt at (0.0000, 0.5000, 0.5000).

The calculation puts the total energy at -169.80 eV per formula unit. The value obtained for the formation energy is -0.32 eV/atom.

# 8
DFT (meta-GGA SCAN) results for CaAl2PPt at its PBEsol-relaxed geometry.

The space group is P4/mmm (No. 123) and the conventional cell measures 5.3115, 5.3115 and 4.8109 Å, with angles of 90.00, 90.00 and 90.00 degrees. The distinct sites, in fractional coordinates, are Ca at (0.0000, 0.0000, 0.0000), Al at (0.0000, 0.5000, 0.0000), P at (0.5000, 0.5000, 0.5000) and Pt at (0.0000, 0.0000, 0.5000).

The calculation puts the total energy at -97.83 eV per formula unit. The value obtained for the formation energy is 1.59 eV/atom.